Below is crystalline CoRh2W at its relaxed geometry, with properties calculated at the PBE level.

Results
For the density of states at the Fermi level, the calculation gives 1.19 states/eV/atom. Its space group is C2/m, No. 12. As for the excess energy over the best structure of this formula in the dataset: 0.122 eV per atom. For the formation energy, the calculation gives -0.08 eV per formula unit.

a = 4.6550 Å, b = 4.6550 Å, c = 4.6489 Å
α = 99.62°, β = 99.62°, γ = 33.93°
Fractional coordinates of all 4 atoms:
Co 0.0000 0.0000 0.0000
Rh 0.2525 0.2525 0.7570
Rh 0.7475 0.7475 0.2430
W 0.5000 0.5000 0.5000